Entry from Alexandria: a relaxed structure of Nd2AgBr (PBE).

Results
SG ... No. 160
Raw formation energy ... -591 meV per atom
DFT total energy ... -16.4 eV per formula unit

```
Nd2AgBr
1.0
-1.2121 -3.9309 -0.5753
2.6560 -3.1158 0.6995
-1.9413 -2.7116 7.6244
Nd Br Ag
2 1 1
Direct
0.0765 0.0765 0.7705
0.2571 0.2571 0.2288
0.4990 0.4990 0.5030
0.6674 0.6674 0.9977
```


Entry from Alexandria: a relaxed structure of Nd8AgOs3Br4 (PBE).

Results
SG ... No. 166
Raw formation energy ... -697 meV per atom
DFT total energy ... -92.5 eV per formula unit

```
Nd8AgOs3Br4
1.0
8.3595 0.0000 0.0000
0.0000 9.1911 0.5855
-4.1798 -4.1785 5.9126
Br Ag Nd Os
4 1 8 3
Direct
0.0000 0.0000 0.5000
0.5000 0.0000 0.0000
0.5000 0.0000 0.5000
0.0000 0.0000 0.0000
0.0000 0.5000 0.0000
0.2898 0.3012 0.0454
0.7330 0.6987 0.4659
0.7557 0.3013 0.5113
0.2670 0.3013 0.5341
0.2443 0.6987 0.4887
0.7556 0.3012 0.0454
0.7102 0.6988 0.9546
0.2444 0.6988 0.9546
0.5000 0.5000 0.5000
0.5000 0.5000 0.0000
0.0000 0.5000 0.5000
```